{"formula": "SrCrIr2", "functional": "GGA-PBE", "state": "relaxed", "spacegroup": "No. 216", "formation_energy_ev_per_fu": 2.59, "de_polymorph_mev_per_atom": 623, "total_magnetization_mub_per_atom": 0.635, "energy_ev_per_atom": -6.609, "cell": [[6.656, 0.000, 0.000], [0.000, 6.656, 0.000], [0.000, 0.000, 6.656]], "species": ["Sr", "Sr", "Sr", "Sr", "Cr", "Cr", "Cr", "Cr", "Ir", "Ir", "Ir", "Ir", "Ir", "Ir", "Ir", "Ir"], "frac_coords": [[0.000, 0.000, 0.000], [0.000, 0.500, 0.500], [0.500, 0.000, 0.500], [0.500, 0.500, 0.000], [0.250, 0.250, 0.750], [0.250, 0.750, 0.250], [0.750, 0.250, 0.250], [0.750, 0.750, 0.750], [0.000, 0.000, 0.500], [0.000, 0.500, 0.000], [0.250, 0.250, 0.250], [0.250, 0.750, 0.750], [0.500, 0.000, 0.000], [0.500, 0.500, 0.500], [0.750, 0.250, 0.750], [0.750, 0.750, 0.250]]}